# 1
CoSiTc4 after structural relaxation, computed with GGA-PBE.

Results
Calculated volume, Å³/atom: 15.1
Calculated total energy, eV/atom: -8.407
Formation energy from raw total energies, meV/atom: 592
Crystal system: cubic
Space group: F-43m
Density of states at the Fermi level, states/eV/cell: 5.93

abc: 5.045 5.045 5.045
angles: 60.00 60.00 60.00
Fractional coordinates of all 6 atoms:
Co 0.750 0.750 0.750
Si 0.000 0.000 0.000
Tc 0.875 0.375 0.375
Tc 0.375 0.375 0.875
Tc 0.375 0.875 0.375
Tc 0.375 0.375 0.375

***

# 2
Co2Si2Tc after structural relaxation, computed with GGA-PBE.

Results
Calculated volume, Å³/atom: 11.7
Calculated total energy, eV/atom: -7.351
Formation energy from raw total energies, meV/atom: -266
Energy above the most stable polymorph in this dataset, eV/atom: 0.201
Crystal system: tetragonal
Space group: P4/mbm
Density of states at the Fermi level, states/eV/cell: 6.06

abc: 6.798 6.798 2.534
angles: 90.00 90.00 90.00
Fractional coordinates of all 10 atoms:
Si 0.167 0.667 0.500
Si 0.667 0.833 0.500
Si 0.833 0.333 0.500
Si 0.333 0.167 0.500
Co 0.370 0.870 0.000
Co 0.870 0.630 0.000
Co 0.630 0.130 0.000
Co 0.130 0.370 0.000
Tc 0.000 0.000 0.000
Tc 0.500 0.500 0.000

***

# 3
CoSi2Tc after structural relaxation, computed with GGA-PBE.

Results
Calculated volume, Å³/atom: 13.7
Calculated total energy, eV/atom: -6.949
Formation energy from raw total energies, meV/atom: 131
Crystal system: tetragonal
Space group: I-42d
Density of states at the Fermi level, states/eV/cell: 2.29

abc: 6.230 6.230 5.229
angles: 53.44 53.44 90.00
Fractional coordinates of all 8 atoms:
Si 0.592 0.125 0.250
Si 0.158 0.625 0.250
Si 0.375 0.408 0.750
Si 0.875 0.842 0.750
Co 0.500 0.500 0.000
Co 0.250 0.750 0.500
Tc 0.000 0.000 0.000
Tc 0.750 0.250 0.500

***

# 4
CoSi4Tc after structural relaxation, computed with GGA-PBE.

Results
Calculated volume, Å³/atom: 12.7
Calculated total energy, eV/atom: -6.100
Formation energy from raw total energies, meV/atom: 427
Crystal system: cubic
Space group: F-43m
Density of states at the Fermi level, states/eV/cell: 4.61

abc: 4.757 4.757 4.757
angles: 60.00 60.00 60.00
Fractional coordinates of all 6 atoms:
Co 0.000 0.000 0.000
Si 0.875 0.375 0.375
Si 0.375 0.375 0.875
Si 0.375 0.875 0.375
Si 0.375 0.375 0.375
Tc 0.750 0.750 0.750

***

- Among the records above, which one has the lowest density of states at the Fermi level?
  CoSi2Tc

***

Please write out number 1 again, unchanged.
CoSiTc4 after structural relaxation, computed with GGA-PBE.

Results
Calculated volume, Å³/atom: 15.1
Calculated total energy, eV/atom: -8.407
Formation energy from raw total energies, meV/atom: 592
Crystal system: cubic
Space group: F-43m
Density of states at the Fermi level, states/eV/cell: 5.93

abc: 5.045 5.045 5.045
angles: 60.00 60.00 60.00
Fractional coordinates of all 6 atoms:
Co 0.750 0.750 0.750
Si 0.000 0.000 0.000
Tc 0.875 0.375 0.375
Tc 0.375 0.375 0.875
Tc 0.375 0.875 0.375
Tc 0.375 0.375 0.375